1.
A geometry-optimized Na2TmSbSe4 structure. Source: the Alexandria database, functional PBE.

```
8
Lattice="7.1979 0.0000 0.0000 0.0000 4.1228 0.0000 -2.3808 0.0000 7.0132" Properties=species:S:1:pos:R:3 pbc="T T T"
Na 0.0000 0.0000 0.0000
Na 3.5990 2.0614 0.0000
Tm -1.1904 2.0614 3.5066
Sb 2.4086 0.0000 3.5066
Se -0.0095 0.0000 5.0947
Se 1.1667 2.0614 1.8947
Se 3.6504 2.0614 5.1185
Se 4.8266 0.0000 1.9184
```

Properties
- spin magnetization (μB per atom) = 0.00
- ΔE_f (raw) (eV per atom) = -1.17


2.
A geometry-optimized Ac2RhSe structure. Source: the Alexandria database, functional PBE.

```
8
Lattice="-3.1353 3.1353 6.3237 3.1353 -3.1353 6.3237 3.1353 3.1353 -6.3237" Properties=species:S:1:pos:R:3 pbc="T T T"
Ac 3.1353 1.5676 -1.7603
Ac 0.0000 1.5676 1.4016
Ac 3.1353 1.5676 4.9221
Ac 0.0000 1.5676 8.0839
Rh 3.1353 -1.5676 4.7428
Rh 0.0000 4.7029 1.5809
Se 3.1353 1.5676 1.5809
Se 0.0000 1.5676 4.7428
```

Properties
- DOS(E_F) (states/eV per cell) = 5.54
- spin magnetization (μB per atom) = 0.00
- ΔE_f (raw) (eV per atom) = -1.23
- energy above the lowest structure with this stoichiometry (meV/atom) = 30.9


3.
A geometry-optimized PrPa2PN5 structure. Source: the Alexandria database, functional PBE.

```
18
Lattice="6.6271 0.0000 0.0000 0.0000 6.6271 0.0000 0.0000 0.0000 5.4381" Properties=species:S:1:pos:R:3 pbc="T T T"
Pr 0.0000 0.0000 0.0000
Pr 3.3136 3.3136 0.0000
Pa 1.1680 2.1455 2.7191
Pa 2.1455 5.4591 2.7191
Pa 4.4816 1.1680 2.7191
Pa 5.4591 4.4816 2.7191
P 0.0000 3.3136 0.0000
P 3.3136 0.0000 0.0000
N 0.0000 0.0000 2.7191
N 0.9129 4.2265 1.2899
N 0.9129 4.2265 4.1482
N 2.4007 0.9129 1.2899
N 2.4007 0.9129 4.1482
N 3.3136 3.3136 2.7191
N 4.2265 5.7142 1.2899
N 4.2265 5.7142 4.1482
N 5.7142 2.4007 1.2899
N 5.7142 2.4007 4.1482
```

Properties
- DOS(E_F) (states/eV per cell) = 6.05
- spin magnetization (μB per atom) = 0.00
- ΔE_f (raw) (eV per atom) = -1.11


Q: What is the formula in the second record?
A: Ac2RhSe